Below is an optimized crystal structure of MnSnBi2Mo, with properties calculated at the PBE-GGA level.

It has space group P4/mmm (No. 123), with a = 5.0395 Å, b = 5.0395 Å, c = 4.8670 Å, α = 90.00°, β = 90.00° and γ = 90.00°. Symmetry generates all atoms from Mn at (0.0000, 0.0000, 0.0000), Sn at (0.0000, 0.0000, 0.5000), Bi at (0.0000, 0.5000, 0.0000) and Mo at (0.5000, 0.5000, 0.5000).

The calculation puts the volume at 124 Å³ per cell. The total magnetization comes out at 0.6416 μB per atom. Its calculated formation energy is 1.085 eV per atom.

***

Below is an optimized crystal structure of SrMnBi2Mo, with properties calculated at the PBE-GGA level.

It has space group P4/mmm (No. 123), with a = 5.4806 Å, b = 5.4806 Å, c = 4.5530 Å, α = 90.00°, β = 90.00° and γ = 90.00°. Symmetry generates all atoms from Sr at (0.0000, 0.0000, 0.0000), Mn at (0.5000, 0.5000, 0.5000), Bi at (0.0000, 0.5000, 0.5000) and Mo at (0.5000, 0.5000, 0.0000).

The calculation puts the volume at 137 Å³ per cell. The total magnetization comes out at 0.7605 μB per atom. Its calculated formation energy is 0.545 eV per atom.

***

Below is an optimized crystal structure of MnBi2TeMo, with properties calculated at the PBE-GGA level.

It has space group P4/mmm (No. 123), with a = 5.9798 Å, b = 5.9798 Å, c = 4.8188 Å, α = 90.00°, β = 90.00° and γ = 90.00°. Symmetry generates all atoms from Mn at (0.0000, 0.0000, 0.0000), Bi at (0.0000, 0.5000, 0.5000), Te at (0.0000, 0.0000, 0.5000) and Mo at (0.5000, 0.5000, 0.0000).

The calculation puts the volume at 172 Å³ per cell. The total magnetization comes out at 1.5752 μB per atom. For the raw formation energy, the calculation gives 1442 meV/atom.

***

Below is an optimized crystal structure of MnBi3N, with properties calculated at the PBE-GGA level.

It has space group Pm-3m (No. 221), with a = 4.9948 Å, b = 4.9948 Å, c = 4.9948 Å, α = 90.00°, β = 90.00° and γ = 90.00°. Symmetry generates all atoms from Mn at (0.0000, 0.0000, 0.0000), Bi at (0.0000, 0.0000, 0.5000) and N at (0.5000, 0.5000, 0.5000).

The calculation puts the volume at 125 Å³ per cell. The total magnetization comes out at 0.0000 μB per atom. The energy above the most stable polymorph in this dataset comes out at 0.652 eV per atom. For the raw formation energy, the calculation gives 1355 meV/atom.

***

Below is an optimized crystal structure of MnBiN, with properties calculated at the PBE-GGA level.

It has space group C2/m (No. 12), with a = 7.7009 Å, b = 3.0232 Å, c = 8.7745 Å, α = 90.00°, β = 98.18° and γ = 90.00°. Symmetry generates all atoms from Mn at (0.1942, 0.0000, 0.3993), Bi at (0.1222, 0.0000, 0.8180) and N at (0.0816, 0.5000, 0.4751).

The calculation puts the volume at 202 Å³ per cell. The total magnetization comes out at 0.1891 μB per atom. For the raw formation energy, the calculation gives 144 meV/atom.

***

Below is an optimized crystal structure of Mn2BiN, with properties calculated at the PBE-GGA level.

It has space group Fm-3m (No. 225), with a = 6.3440 Å, b = 6.3440 Å, c = 6.3440 Å, α = 90.00°, β = 90.00° and γ = 90.00°. Symmetry generates all atoms from Mn at (0.2500, 0.2500, 0.2500), Bi at (0.0000, 0.0000, 0.0000) and N at (0.0000, 0.0000, 0.5000).

The calculation puts the volume at 255 Å³ per cell. The total magnetization comes out at 1.7642 μB per atom. The energy above the most stable polymorph in this dataset comes out at 1.042 eV per atom. For the raw formation energy, the calculation gives 1104 meV/atom.

***

Below is an optimized crystal structure of Mn2BiN, with properties calculated at the PBE-GGA level.

It has space group I-42d (No. 122), with a = 6.1376 Å, b = 6.1376 Å, c = 7.0876 Å, α = 90.00°, β = 90.00° and γ = 90.00°. Symmetry generates all atoms from Mn at (0.1029, 0.2500, 0.1250), Bi at (0.0000, 0.0000, 0.5000) and N at (0.0000, 0.0000, 0.0000).

The calculation puts the volume at 267 Å³ per cell. The total magnetization comes out at 1.4977 μB per atom. The energy above the most stable polymorph in this dataset comes out at 0.000 eV per atom. For the raw formation energy, the calculation gives 62 meV/atom.

***

Below is an optimized crystal structure of MnBi2N, with properties calculated at the PBE-GGA level.

It has space group I-42d (No. 122), with a = 5.8681 Å, b = 5.8681 Å, c = 10.3602 Å, α = 90.00°, β = 90.00° and γ = 90.00°. Symmetry generates all atoms from Mn at (0.0000, 0.0000, 0.0000), Bi at (0.2195, 0.2500, 0.6250) and N at (0.0000, 0.0000, 0.5000).

The calculation puts the volume at 357 Å³ per cell. The total magnetization comes out at 0.0000 μB per atom. For the raw formation energy, the calculation gives 1069 meV/atom.